Material: ZrGePd4
Method: DFT, PBE-GGA
State: relaxed

Results
M_tot   0.0 μB/f.u.
DFT formation energy   -3.181 eV/f.u.
DOS at the Fermi energy   0.35 states/eV/atom
Space-group type   C2/m, No. 12
Total DFT energy (no corrections)   -6.186 eV per atom

a = 3.461 Å, b = 3.461 Å, c = 8.389 Å
α = 93.55°, β = 93.55°, γ = 88.50°
Positions (direct):
Zr: 0.000 0.000 0.000
Ge: 0.500 0.500 0.500
Pd: 0.049 0.049 0.343
Pd: 0.476 0.476 0.830
Pd: 0.524 0.524 0.170
Pd: 0.951 0.951 0.657